{
  "formula": "Cs2Mo2Ir",
  "functional": "PBE",
  "state": "optimized geometry",
  "cell": [[-4.076, -1.197, -0.464], [1.040, -3.985, 1.142], [-2.937, -0.749, 8.056]],
  "species": ["Mo", "Mo", "Cs", "Cs", "Ir"],
  "frac_coords": [[0.437, 0.437, 0.126], [0.563, 0.563, 0.874], [0.250, 0.750, 0.500], [0.750, 0.250, 0.500], [0.000, 0.000, 0.000]],
  "formation_energy_mev_per_atom": 2019,
  "space_group": "I4/mmm, No. 139",
  "rho_g_cm3": 7.33
}

***

{
  "formula": "NaSc4In5",
  "functional": "PBE",
  "state": "optimized geometry",
  "cell": [[-0.349, -0.564, 3.171], [2.939, -3.140, -0.235], [12.075, 11.056, 3.296]],
  "species": ["Sc", "Sc", "Sc", "Sc", "Na", "In", "In", "In", "In", "In"],
  "frac_coords": [[0.000, 0.000, 0.208], [0.000, 0.000, 0.403], [0.000, 0.000, 0.597], [0.000, 0.000, 0.792], [0.000, 0.000, 0.000], [0.500, 0.500, 0.306], [0.500, 0.500, 0.694], [0.500, 0.500, 0.500], [0.500, 0.500, 0.114], [0.500, 0.500, 0.886]],
  "formation_energy_mev_per_atom": -349,
  "space_group": "Pmmm, No. 47",
  "rho_g_cm3": 5.53
}

***

{
  "formula": "AcTb6PrHo2",
  "functional": "PBE",
  "state": "optimized geometry",
  "cell": [[9.175, -2.038, -2.114], [0.991, 8.651, -2.045], [0.991, -2.364, 8.570]],
  "species": ["Tb", "Tb", "Tb", "Tb", "Tb", "Tb", "Tb", "Tb", "Tb", "Tb", "Tb", "Tb", "Ho", "Ho", "Ho", "Ho", "Pr", "Pr", "Ac", "Ac"],
  "frac_coords": [[0.943, 0.879, 0.250], [0.557, 0.750, 0.121], [0.322, 0.981, 0.444], [0.057, 0.121, 0.750], [0.383, 0.512, 0.291], [0.178, 0.556, 0.019], [0.883, 0.291, 0.512], [0.617, 0.488, 0.709], [0.443, 0.250, 0.879], [0.822, 0.444, 0.981], [0.117, 0.709, 0.488], [0.678, 0.019, 0.556], [0.548, 0.198, 0.310], [0.452, 0.802, 0.690], [0.952, 0.690, 0.802], [0.048, 0.310, 0.198], [0.250, 0.410, 0.590], [0.750, 0.590, 0.410], [0.750, 0.032, 0.968], [0.250, 0.968, 0.032]],
  "formation_energy_mev_per_atom": 130,
  "space_group": "C2/c, No. 15",
  "rho_g_cm3": 8.06
}

***

{
  "formula": "GdH3Pd",
  "functional": "PBE",
  "state": "optimized geometry",
  "cell": [[-1.845, 1.828, -2.681], [-1.174, -3.251, -1.409], [-3.025, 0.147, 2.182]],
  "species": ["Pd", "H", "H", "H", "Gd"],
  "frac_coords": [[0.000, 0.000, 0.000], [0.000, 0.500, 0.000], [0.500, 0.000, 0.000], [0.000, 0.000, 0.500], [0.500, 0.500, 0.500]],
  "space_group": "Pm-3m, No. 221",
  "energy_ev_per_atom": -6.3538,
  "rho_g_cm3": 8.51
}

***

{
  "formula": "Zr2CdBr",
  "functional": "PBE",
  "state": "optimized geometry",
  "cell": [[-3.426, 3.062, -2.312], [1.268, -0.778, -2.910], [-2.906, -4.568, -1.744]],
  "species": ["Zr", "Zr", "Cd", "Br"],
  "frac_coords": [[0.000, 0.064, 0.988], [0.500, 0.391, 0.317], [0.500, 0.676, 0.794], [0.000, 0.369, 0.401]],
  "e_form_raw_ev_per_atom": -0.1254,
  "space_group": "Pm, No. 6",
  "rho_g_cm3": 6.75,
  "relative_energy_mev_per_atom": 230.5
}

***

{
  "formula": "AlRe2N",
  "functional": "PBE",
  "state": "optimized geometry",
  "cell": [[-0.459, -3.925, 1.297], [-3.807, -1.624, 0.407], [-1.307, -2.927, -2.650]],
  "species": ["Al", "N", "Re", "Re"],
  "frac_coords": [[0.500, 0.500, 0.500], [0.000, 0.000, 0.000], [0.750, 0.750, 0.750], [0.250, 0.250, 0.250]],
  "e_form_raw_ev_per_atom": 1.1760,
  "space_group": "Fm-3m, No. 225",
  "rho_g_cm3": 13.49,
  "relative_energy_mev_per_atom": 337.2
}

***

{
  "formula": "NaPdI",
  "functional": "PBE",
  "state": "optimized geometry",
  "cell": [[-4.740, 1.681, -0.734], [-2.869, -2.427, -3.418], [-3.445, -6.769, 2.825]],
  "species": ["I", "I", "Na", "Na", "Pd", "Pd"],
  "frac_coords": [[0.974, 0.320, 0.641], [0.548, 0.301, 0.234], [0.260, 0.812, 0.437], [0.566, 0.006, 0.937], [0.217, 0.716, 0.909], [0.884, 0.326, 0.966]],
  "e_form_raw_ev_per_atom": -0.4845,
  "space_group": "C2, No. 5",
  "rho_g_cm3": 5.08,
  "relative_energy_mev_per_atom": 45.4
}

***

{
  "formula": "PrBi2Pb2",
  "functional": "PBE",
  "state": "optimized geometry",
  "cell": [[4.714, 0.000, 0.000], [0.000, 4.758, 0.000], [-2.357, 0.000, 14.150]],
  "species": ["Bi", "Bi", "Bi", "Bi", "Pb", "Pb", "Pb", "Pb", "Pr", "Pr"],
  "frac_coords": [[0.750, 0.250, 0.499], [0.250, 0.750, 0.501], [0.860, 0.750, 0.720], [0.140, 0.250, 0.280], [0.450, 0.750, 0.901], [0.049, 0.750, 0.099], [0.951, 0.250, 0.901], [0.550, 0.250, 0.099], [0.658, 0.750, 0.316], [0.342, 0.250, 0.684]],
  "formation_energy_mev_per_atom": -376,
  "space_group": "Cmcm, No. 63",
  "rho_g_cm3": 10.18
}

***

{
  "formula": "Ho4AgOs",
  "functional": "PBE",
  "state": "optimized geometry",
  "cell": [[8.242, 0.000, 4.758], [2.747, 7.770, 4.758], [0.000, 0.000, 9.517]],
  "species": ["Ho", "Ho", "Ho", "Ho", "Ho", "Ho", "Ho", "Ho", "Ho", "Ho", "Ho", "Ho", "Ho", "Ho", "Ho", "Ho", "Ag", "Ag", "Ag", "Ag", "Os", "Os", "Os", "Os"],
  "frac_coords": [[0.191, 0.191, 0.809], [0.191, 0.809, 0.191], [0.560, 0.940, 0.940], [0.809, 0.191, 0.809], [0.940, 0.560, 0.560], [0.191, 0.809, 0.809], [0.809, 0.191, 0.191], [0.940, 0.560, 0.940], [0.560, 0.560, 0.940], [0.560, 0.940, 0.560], [0.940, 0.940, 0.560], [0.809, 0.809, 0.191], [0.401, 0.796, 0.401], [0.796, 0.401, 0.401], [0.401, 0.401, 0.401], [0.401, 0.401, 0.796], [0.168, 0.168, 0.168], [0.168, 0.496, 0.168], [0.496, 0.168, 0.168], [0.168, 0.168, 0.496], [0.170, 0.610, 0.610], [0.610, 0.170, 0.610], [0.610, 0.610, 0.610], [0.610, 0.610, 0.170]],
  "formation_energy_mev_per_atom": -261,
  "space_group": "F-43m, No. 216",
  "rho_g_cm3": 10.44,
  "relative_energy_mev_per_atom": 0.0
}

***

{
  "formula": "Cs2RbSiP",
  "functional": "PBE",
  "state": "optimized geometry",
  "cell": [[-1.810, 2.656, 6.493], [2.034, -3.669, 2.068], [6.267, 3.624, 0.265]],
  "species": ["Rb", "Cs", "Cs", "Si", "P"],
  "frac_coords": [[0.500, 0.500, 0.500], [0.500, 0.000, 0.000], [0.000, 0.000, 0.500], [0.000, 0.500, 0.000], [0.000, 0.000, 0.000]],
  "e_form_raw_ev_per_atom": 0.1289,
  "space_group": "P4/mmm, No. 123",
  "rho_g_cm3": 2.78
}

***

{
  "formula": "Se3Br",
  "functional": "PBE",
  "state": "optimized geometry",
  "cell": [[-2.296, -3.775, 0.160], [1.634, -1.161, -3.940], [3.406, -1.987, 1.998]],
  "species": ["Se", "Se", "Se", "Br"],
  "frac_coords": [[0.500, 0.500, 0.000], [0.500, 0.000, 0.500], [0.000, 0.500, 0.500], [0.000, 0.000, 0.000]],
  "e_form_raw_ev_per_atom": 0.7839,
  "space_group": "Pm-3m, No. 221",
  "rho_g_cm3": 6.09,
  "relative_energy_mev_per_atom": 730.5
}

***

{
  "formula": "Ca2Cd2Se",
  "functional": "PBE",
  "state": "optimized geometry",
  "cell": [[7.807, 0.000, 0.000], [0.000, 7.807, 0.000], [0.000, 0.000, 5.069]],
  "species": ["Cd", "Cd", "Cd", "Cd", "Se", "Se", "Ca", "Ca", "Ca", "Ca"],
  "frac_coords": [[0.368, 0.132, 0.500], [0.132, 0.632, 0.500], [0.868, 0.368, 0.500], [0.632, 0.868, 0.500], [0.000, 0.000, 0.000], [0.500, 0.500, 0.000], [0.680, 0.180, 0.000], [0.180, 0.320, 0.000], [0.320, 0.820, 0.000], [0.820, 0.680, 0.000]],
  "e_form_raw_ev_per_atom": -0.6118,
  "space_group": "P4/mbm, No. 127",
  "rho_g_cm3": 4.13
}

***

| no. | density of states at the Fermi level (states/eV per atom) |
| --- | --- |
| 1 | 1.4256 |
| 2 | 0.6369 |
| 3 | 1.5046 |
| 4 | 0.5013 |
| 5 | 1.1034 |
| 6 | 1.0169 |
| 7 | 0.0000 |
| 8 | 0.3519 |
| 9 | 1.2253 |
| 10 | 0.0908 |
| 11 | 1.0373 |
| 12 | 0.5775 |